CrCoTc2: relaxed, PBE.

```
data_CrCoTc2
_chemical_formula_sum 'Cr1 Co1 Tc2'
_symmetry_space_group_name_H-M 'P 4/m m m'
_symmetry_Int_Tables_number 123
_symmetry_space_group_name_Hall '-P 4 2'
_cell_length_a 3.736
_cell_length_b 3.736
_cell_length_c 3.673
_cell_angle_alpha 90.00
_cell_angle_beta 90.00
_cell_angle_gamma 90.00
loop_
_atom_site_label
_atom_site_type_symbol
_atom_site_fract_x
_atom_site_fract_y
_atom_site_fract_z
_atom_site_occupancy
Cr1 Cr 0.000 0.000 0.000 1
Co1 Co 0.500 0.500 0.000 1
Tc1 Tc 0.000 0.500 0.500 1
```

DFT formation energy in kJ/mol of atoms: 6

---

Sm6Dy12Tm: relaxed, PBE.

```
data_Sm6Dy12Tm
_chemical_formula_sum 'Sm18 Dy36 Tm3'
_symmetry_space_group_name_H-M 'R -3 m'
_symmetry_Int_Tables_number 166
_symmetry_space_group_name_Hall '-R 3 2"'
_cell_length_a 11.0787
_cell_length_b 11.0787
_cell_length_c 17.4929
_cell_angle_alpha 90.00
_cell_angle_beta 90.00
_cell_angle_gamma 120.00
loop_
_atom_site_label
_atom_site_type_symbol
_atom_site_fract_x
_atom_site_fract_y
_atom_site_fract_z
_atom_site_occupancy
Sm1 Sm 0.0717 0.5358 0.2674 1
Dy1 Dy 0.0983 0.5491 0.9131 1
Dy2 Dy 0.1062 0.2125 0.9082 1
Tm1 Tm 0.0000 0.0000 0.5000 1
```

DFT formation energy in kJ/mol of atoms: 12

---

BaNaCd2Au: relaxed, PBE.

```
data_BaNaCd2Au
_chemical_formula_sum 'Ba2 Na2 Cd4 Au2'
_symmetry_space_group_name_H-M 'I m m 2'
_symmetry_Int_Tables_number 44
_cell_length_a 4.525
_cell_length_b 4.689
_cell_length_c 13.816
_cell_angle_alpha 90.00
_cell_angle_beta 90.00
_cell_angle_gamma 90.00
loop_
_symmetry_equiv_pos_as_xyz
'x,y,z'
'-x,-y,z'
'-x,y,z'
'x,-y,z'
'x+1/2,y+1/2,z+1/2'
'-x+1/2,-y+1/2,z+1/2'
'-x+1/2,y+1/2,z+1/2'
'x+1/2,-y+1/2,z+1/2'
loop_
_atom_site_label
_atom_site_type_symbol
_atom_site_fract_x
_atom_site_fract_y
_atom_site_fract_z
_atom_site_occupancy
Ba1 Ba 0.000 0.000 0.000 1
Na1 Na 0.000 0.500 0.769 1
Cd1 Cd 0.000 0.000 0.623 1
Cd2 Cd 0.000 0.500 0.272 1
Au1 Au 0.000 0.000 0.413 1
```

DFT formation energy in kJ/mol of atoms: -35

---

Na3ReSb: relaxed, PBE.

```
data_Na3ReSb
_chemical_formula_sum 'Na3 Re1 Sb1'
_symmetry_space_group_name_H-M 'P m -3 m'
_symmetry_Int_Tables_number 221
_symmetry_space_group_name_Hall '-P 4 2 3'
_cell_length_a 5.635
_cell_length_b 5.635
_cell_length_c 5.635
_cell_angle_alpha 90.00
_cell_angle_beta 90.00
_cell_angle_gamma 90.00
loop_
_atom_site_label
_atom_site_type_symbol
_atom_site_fract_x
_atom_site_fract_y
_atom_site_fract_z
_atom_site_occupancy
Na1 Na 0.000 0.000 0.500 1
Re1 Re 0.000 0.000 0.000 1
Sb1 Sb 0.500 0.500 0.500 1
```

Raw formation energy in eV/atom: 1.436

---

no.,magnetization (μB/atom),E (eV per atom)
1,0.0007,-9.30
2,0.0000,-4.51
3,0.0000,-2.03
4,0.9995,-2.67